# 1
First-principles (PBE) data for a relaxed structure of BaCu2PbCl8, as listed in Alexandria via LeMat-Bulk.

Calculated values
Space-group type: I-4 (82)
ΔE_f (raw), kcal/mol of atoms: -25.6
Theoretical density, g cm⁻³: 3.81
Magnetic moment, μB per formula unit: 2.1

Lattice parameters (Å, degrees): 6.786 6.786 8.604 113.22 113.22 90.00
Positions (direct):
Cl1 0.705 0.284 0.874
Cl2 0.050 0.951 0.639
Cu1 0.250 0.750 0.500
Pb1 0.000 0.000 0.000
Cl3 0.049 0.410 0.361
Cl4 0.312 0.950 0.361
Cl5 0.716 0.831 0.126
Cu2 0.500 0.500 0.000
Cl6 0.590 0.688 0.639
Cl7 0.410 0.295 0.126
Cl8 0.169 0.590 0.874
Ba1 0.750 0.250 0.500

=====

# 2
First-principles (PBE) data for a relaxed structure of BaCuPdCl6, as listed in Alexandria via LeMat-Bulk.

Calculated values
Space-group type: P1 (1)
ΔE_f (raw), kcal/mol of atoms: -25.8
Theoretical density, g cm⁻³: 3.19
Magnetic moment, μB per formula unit: 1.1

Lattice parameters (Å, degrees): 8.419 5.576 6.848 74.13 74.82 62.56
Positions (direct):
Cl1 0.716 0.267 0.707
Cu1 0.661 0.664 0.489
Cl2 0.287 0.742 0.293
Cl3 0.584 0.088 0.278
Pd1 0.339 0.326 0.511
Cl4 0.903 0.490 0.247
Ba1 0.002 0.002 0.999
Cl5 0.418 0.898 0.727
Cl6 0.088 0.523 0.750

=====

# 3
First-principles (PBE) data for a relaxed structure of BaPmCu2Cl8, as listed in Alexandria via LeMat-Bulk.

Calculated values
Space-group type: C2/m (12)
ΔE_f (raw), kcal/mol of atoms: -35.8
Theoretical density, g cm⁻³: 3.24
Magnetic moment, μB per formula unit: 1.0

Lattice parameters (Å, degrees): 6.226 6.226 9.526 89.11 89.11 74.42
Positions (direct):
Pm1 0.000 0.000 0.000
Cl1 0.230 0.759 0.778
Cu1 0.645 0.645 0.233
Cu2 0.355 0.355 0.767
Cl2 0.691 0.691 0.459
Cl3 0.309 0.309 0.541
Ba1 0.000 0.000 0.500
Cl4 0.770 0.241 0.222
Cl5 0.759 0.230 0.778
Cl6 0.274 0.274 0.988
Cl7 0.241 0.770 0.222
Cl8 0.726 0.726 0.012

=====

# 4
First-principles (PBE) data for a relaxed structure of BaPrCu2Cl8, as listed in Alexandria via LeMat-Bulk.

Calculated values
Space-group type: P-3 (147)
ΔE_f (raw), kcal/mol of atoms: -34.7
Theoretical density, g cm⁻³: 3.39
Magnetic moment, μB per formula unit: 1.1

Lattice parameters (Å, degrees): 6.450 6.450 9.359 90.00 90.00 120.00
Positions (direct):
Cl1 0.326 0.009 0.695
Cl2 0.317 0.326 0.305
Cl3 0.009 0.683 0.305
Cu1 0.333 0.667 0.757
Cl4 0.674 0.991 0.305
Cl5 0.683 0.674 0.695
Cu2 0.667 0.333 0.243
Ba1 0.000 0.000 0.000
Cl6 0.333 0.667 0.995
Pr1 0.000 0.000 0.500
Cl7 0.991 0.317 0.695
Cl8 0.667 0.333 0.005

=====

# 5
First-principles (PBE) data for a relaxed structure of RbBaCuCl4, as listed in Alexandria via LeMat-Bulk.

Calculated values
Space-group type: P2_1/m (11)
ΔE_f (raw), kcal/mol of atoms: -40.6
Theoretical density, g cm⁻³: 3.35
Magnetic moment, μB per formula unit: 0.1

Lattice parameters (Å, degrees): 6.983 6.987 9.160 90.00 108.32 90.00
Positions (direct):
Cl1 0.008 0.997 0.732
Rb1 0.263 0.250 0.065
Cu1 0.776 0.250 0.691
Ba1 0.763 0.750 0.445
Cl2 0.008 0.503 0.732
Cl3 0.591 0.250 0.858
Cl4 0.409 0.750 0.142
Cl5 0.596 0.250 0.426
Cl6 0.404 0.750 0.574
Ba2 0.237 0.250 0.555
Cl7 0.992 0.497 0.268
Cl8 0.992 0.003 0.268
Rb2 0.737 0.750 0.935
Cu2 0.224 0.750 0.309

=====

# 6
First-principles (PBE) data for a relaxed structure of Rb2BaCuCl5, as listed in Alexandria via LeMat-Bulk.

Calculated values
Space-group type: Cmc2_1 (36)
ΔE_f (raw), kcal/mol of atoms: -40.9
Theoretical density, g cm⁻³: 3.07
Magnetic moment, μB per formula unit: 0.1

Lattice parameters (Å, degrees): 4.413 9.896 13.948 90.00 90.00 102.88
Positions (direct):
Ba1 0.186 0.372 0.037
Cl1 0.494 0.988 0.767
Cl2 0.325 0.651 0.381
Cl3 0.030 0.061 0.985
Cl4 0.970 0.939 0.485
Ba2 0.814 0.628 0.537
Cl5 0.675 0.349 0.881
Cl6 0.342 0.684 0.020
Cl7 0.701 0.402 0.187
Rb1 0.893 0.785 0.186
Rb2 0.107 0.215 0.686
Cl8 0.658 0.316 0.520
Cl9 0.299 0.598 0.687
Rb3 0.881 0.761 0.850
Cu1 0.551 0.102 0.911
Rb4 0.119 0.239 0.350
Cl10 0.506 0.012 0.267
Cu2 0.449 0.898 0.411

=====

# 7
First-principles (PBE) data for a relaxed structure of Rb2BaCu2Cl6, as listed in Alexandria via LeMat-Bulk.

Calculated values
Space-group type: C2/m (12)
ΔE_f (raw), kcal/mol of atoms: -35.3
Theoretical density, g cm⁻³: 2.92
Magnetic moment, μB per formula unit: 0.2

Lattice parameters (Å, degrees): 7.564 7.380 8.592 112.42 90.00 120.83
Positions (direct):
Cl1 0.815 0.127 0.812
Rb1 0.293 0.586 0.831
Cu1 0.046 0.093 0.264
Cl2 0.311 0.127 0.812
Cl3 0.240 0.480 0.416
Cu2 0.954 0.907 0.736
Ba1 0.500 0.000 0.500
Rb2 0.707 0.414 0.169
Cl4 0.185 0.873 0.188
Cl5 0.689 0.873 0.188
Cl6 0.760 0.520 0.584

=====

# 8
First-principles (PBE) data for a relaxed structure of BaCu2ReCl, as listed in Alexandria via LeMat-Bulk.

Calculated values
Space-group type: P4/mmm (123)
ΔE_f (raw), kcal/mol of atoms: 27.7
Theoretical density, g cm⁻³: 7.29
Magnetic moment, μB per formula unit: 2.6

Lattice parameters (Å, degrees): 4.434 5.636 4.434 90.00 90.00 90.00
Positions (direct):
Cl1 0.000 0.000 0.000
Cu1 0.500 0.000 0.000
Ba1 0.000 0.500 0.000
Cu2 0.000 0.000 0.500
Re1 0.500 0.500 0.500

=====

# 9
First-principles (PBE) data for a relaxed structure of Ba2CuS2Cl2, as listed in Alexandria via LeMat-Bulk.

Calculated values
Space-group type: I4/mmm (139)
ΔE_f (raw), kcal/mol of atoms: -34.6
Relative energy among the computed polymorphs, meV/atom: 201
Theoretical density, g cm⁻³: 4.30
Magnetic moment, μB per formula unit: 0.0

Lattice parameters (Å, degrees): 8.475 8.475 8.475 146.69 146.69 47.82
Positions (direct):
Ba1 0.646 0.646 0.000
S1 0.156 0.156 0.000
Ba2 0.354 0.354 0.000
Cl1 0.000 0.500 0.500
Cu1 0.000 0.000 0.000
Cl2 0.500 0.000 0.500
S2 0.844 0.844 0.000

=====

# 10
First-principles (PBE) data for a relaxed structure of BaCuS2Cl, as listed in Alexandria via LeMat-Bulk.

Calculated values
Space-group type: P4/mmm (123)
ΔE_f (raw), kcal/mol of atoms: 5.7
Relative energy among the computed polymorphs, meV/atom: 1247
Theoretical density, g cm⁻³: 2.29
Magnetic moment, μB per formula unit: 2.0

Lattice parameters (Å, degrees): 6.088 6.088 5.877 90.00 90.00 90.00
Positions (direct):
Cl1 0.000 0.000 0.500
Ba1 0.000 0.000 0.000
Cu1 0.500 0.500 0.500
S1 0.500 0.000 0.000
S2 0.000 0.500 0.000

=====

| no. | volume (Å³/cell) | DFT total energy (eV per atom) |
| --- | --- | --- |
| 1 | 329 | -3.49 |
| 2 | 271 | -3.60 |
| 3 | 356 | -4.02 |
| 4 | 337 | -3.98 |
| 5 | 424 | -3.82 |
| 6 | 594 | -3.68 |
| 7 | 369 | -3.63 |
| 8 | 111 | -3.68 |
| 9 | 183 | -4.34 |
| 10 | 218 | -2.98 |